1.
{
  "formula": "PaAlIO4",
  "functional": "PBE",
  "state": "optimized geometry",
  "lattice": [[6.6842, 0.9426, -0.3858], [3.1035, 5.9947, -0.3858], [1.5955, 1.1309, 6.4707]],
  "species": ["O", "I", "O", "O", "O", "I", "Pa", "O", "O", "Pa", "Al", "Al", "O", "O"],
  "frac_coords": [[0.4774, 0.4774, 0.7862], [0.0413, 0.0413, 0.2984], [0.5335, 0.1025, 0.1251], [0.8975, 0.4665, 0.8749], [0.3139, 0.3139, 0.5227], [0.9587, 0.9587, 0.7016], [0.6970, 0.6970, 0.1699], [0.5226, 0.5226, 0.2138], [0.6861, 0.6861, 0.4773], [0.3030, 0.3030, 0.8301], [0.6281, 0.6281, 0.7412], [0.3719, 0.3719, 0.2588], [0.1025, 0.5335, 0.1251], [0.4665, 0.8975, 0.8749]],
  "dos_ef_per_ev_atom": 0.032,
  "e_form_raw_ev_per_atom": -2.671
}


2.
{
  "formula": "NdCu6P2",
  "functional": "PBE",
  "state": "optimized geometry",
  "lattice": [[-0.2023, -3.7218, 0.9389], [3.7944, -0.0519, 0.6118], [-1.3253, 2.1924, 8.4050]],
  "species": ["Cu", "Cu", "Cu", "P", "Cu", "Cu", "P", "Nd", "Cu"],
  "frac_coords": [[0.0000, 0.5000, 0.6946], [0.0000, 0.0000, 0.5000], [0.5000, 0.0000, 0.3054], [0.5000, 0.5000, 0.8470], [0.5000, 0.5000, 0.5000], [0.5000, 0.0000, 0.6946], [0.5000, 0.5000, 0.1530], [0.0000, 0.0000, 0.0000], [0.0000, 0.5000, 0.3054]],
  "dos_ef_per_ev_atom": 0.337,
  "e_form_ev_per_atom": -0.38
}


3.
{
  "formula": "TiCdN2F",
  "functional": "PBE",
  "state": "optimized geometry",
  "lattice": [[4.1390, 0.0000, 0.0000], [0.0000, 4.1390, 0.0000], [0.0000, 0.0000, 4.1039]],
  "species": ["N", "Ti", "N", "F", "Cd"],
  "frac_coords": [[0.5000, 0.0000, 0.0000], [0.5000, 0.5000, 0.5000], [0.0000, 0.5000, 0.0000], [0.0000, 0.0000, 0.5000], [0.0000, 0.0000, 0.0000]],
  "dos_ef_per_ev_atom": 0.847,
  "polymorph_energy_ev_per_fu": 7.633,
  "e_form_raw_ev_per_atom": 0.855
}


> What is the formula in the third record?

TiCdN2F